A geometry-optimized HfZrNi6 structure, computed with PBE.

Geometry as POSCAR:
```
HfZrNi6
1.0
-4.938 4.075 0.933
2.440 -1.777 5.723
6.736 8.235 -0.315
Ni Zr Hf
24 4 4
direct
0.626 0.876 0.874
0.626 0.876 0.124
0.249 0.751 0.999
0.374 0.124 0.874
0.249 0.751 0.501
0.124 0.374 0.124
0.626 0.876 0.376
0.626 0.876 0.626
0.124 0.374 0.376
0.374 0.124 0.376
0.876 0.626 0.626
0.876 0.626 0.376
0.876 0.626 0.874
0.751 0.249 0.501
0.751 0.249 0.999
0.000 0.000 0.750
0.374 0.124 0.124
0.500 0.500 0.250
0.876 0.626 0.124
0.124 0.374 0.626
0.124 0.374 0.874
0.000 0.000 0.250
0.374 0.124 0.626
0.500 0.500 0.750
0.500 0.500 0.501
0.251 0.749 0.250
0.500 0.500 0.999
0.749 0.251 0.250
0.749 0.251 0.750
0.000 0.000 0.501
0.000 0.000 0.999
0.251 0.749 0.750
```

## Properties
formation energy from the elements = -0.46 eV per atom
volume = 13.13 Å³/atom